[1]
Here is a relaxed Ga2RhPb crystal from Alexandria. Energies are from GGA-PBE.

POSCAR file:
```
Ga2RhPb
1.0
-2.565 -1.306 7.315
0.558 -7.750 -1.189
1.598 -4.482 3.984
Pb Rh Ga
2 2 4
Direct
0.000 0.000 0.000
0.750 0.250 0.500
0.500 0.500 0.000
0.250 0.750 0.500
0.558 0.125 0.250
0.192 0.625 0.250
0.375 0.442 0.750
0.875 0.808 0.750
```

Computed properties:
The value obtained for the calculated density is 8.754 Mg/m³. The raw total energy is -4.2756 eV/atom. Its space-group type is I-42d (122). For the energy relative to the elements, the calculation gives 0.3 kJ per mole of atoms. Its density of states at the Fermi level is 4.3 states/eV per cell.

***

[2]
Here is a relaxed Ga3RhPb crystal from Alexandria. Energies are from GGA-PBE.

POSCAR file:
```
Ga3RhPb
1.0
-4.345 2.012 -0.661
-1.976 -4.394 -0.386
-0.762 -0.077 4.773
Pb Rh Ga
1 1 3
Direct
0.500 0.500 0.500
0.000 0.000 0.000
0.000 0.500 0.000
0.000 0.000 0.500
0.500 0.000 0.000
```

Computed properties:
As for the relative energy among the computed polymorphs: 0.00 eV per formula unit. The value obtained for the calculated density is 7.636 Mg/m³. The raw total energy is -4.1408 eV/atom. Its space-group type is Pm-3m (221). For the energy relative to the elements, the calculation gives -10.9 kJ per mole of atoms. Its density of states at the Fermi level is 3.4 states/eV per cell.

***

[3]
Here is a relaxed GaRhPb2 crystal from Alexandria. Energies are from GGA-PBE.

POSCAR file:
```
GaRhPb2
1.0
-8.719 3.413 0.770
-1.103 -4.644 8.092
-4.058 1.291 5.641
Pb Rh Ga
4 2 2
Direct
0.738 0.125 0.250
0.012 0.625 0.250
0.375 0.262 0.750
0.875 0.988 0.750
0.000 0.000 0.000
0.750 0.250 0.500
0.500 0.500 0.000
0.250 0.750 0.500
```

Computed properties:
The value obtained for the calculated density is 9.153 Mg/m³. The raw total energy is -4.4711 eV/atom. Its space-group type is I-42d (122). For the energy relative to the elements, the calculation gives -2.2 kJ per mole of atoms. Its density of states at the Fermi level is 4.6 states/eV per cell.